Density functional theory data (PBE-GGA) for a geometry-optimized LiV2GeMo structure.

Computed properties:
* V: 16.3 Å³ per atom
* raw total energy: -6.137 eV per atom
* ΔH_f (0 K): 4.9 eV per formula unit
* SG: P4/mmm (123)

Cell and atoms, written as POSCAR:
```
LiV2GeMo
1.0
4.538 0.000 0.000
0.000 3.954 0.000
0.000 0.000 4.538
Mo V Ge Li
1 2 1 1
Direct
0.500 0.500 0.500
0.000 0.000 0.500
0.500 0.000 0.000
0.000 0.000 0.000
0.000 0.500 0.000
```